Ac2Ge2N5 | PBE-GGA | relaxed

Values from the calculation:
Energy relative to the elements, uncorrected   -7.3 kcal/mol of atoms
Symmetry   C2/m
Total DFT energy (no corrections)   -6.879 eV per atom
D(E_F)   6.670 states/eV/cell

Cell lengths 4.094, 5.908, 6.153 Å; angles 103.16, 90.00, 110.27 degrees
Site moments in Bohr magnetons follow the coordinates.
Fractional coordinates of all 9 atoms:
Ac 0.394 0.788 0.681  0.01
Ac 0.606 0.212 0.319  0.01
Ge 0.152 0.304 0.886  -0.01
Ge 0.848 0.696 0.114  -0.01
N 0.324 0.648 0.058  0.10
N 0.676 0.352 0.942  0.10
N 0.150 0.300 0.584  0.10
N 0.850 0.700 0.416  0.10
N 0.000 0.000 0.000  0.06


Ac3GeN2 | PBE-GGA | relaxed

Values from the calculation:
Energy relative to the elements, uncorrected   -20.4 kcal/mol of atoms
Symmetry   Pmmn
Total DFT energy (no corrections)   -6.485 eV per atom
D(E_F)   9.923 states/eV/cell

Cell lengths 4.268, 5.555, 13.316 Å; angles 90.00, 90.00, 90.00 degrees
Fractional coordinates of all 12 atoms:
Ac 0.250 0.500 0.703
Ac 0.253 0.000 0.500
Ac 0.250 0.500 0.297
Ac 0.750 0.000 0.203
Ac 0.747 0.500 0.000
Ac 0.750 0.000 0.797
Ge 0.751 0.500 0.500
Ge 0.249 0.000 0.000
N 0.251 0.000 0.693
N 0.251 0.000 0.307
N 0.749 0.500 0.193
N 0.749 0.500 0.807


Ac8GeN4 | PBE-GGA | relaxed

Values from the calculation:
Energy relative to the elements, uncorrected   -15.9 kcal/mol of atoms
Symmetry   R-3m
Total DFT energy (no corrections)   -6.133 eV per atom
D(E_F)   10.364 states/eV/cell

Cell lengths 7.891, 7.891, 8.502 Å; angles 62.35, 62.35, 60.00 degrees
Fractional coordinates of all 13 atoms:
Ac 0.742 0.234 0.791
Ac 0.766 0.258 0.209
Ac 0.258 0.766 0.209
Ac 0.766 0.766 0.209
Ac 0.734 0.734 0.797
Ac 0.266 0.266 0.203
Ac 0.234 0.234 0.791
Ac 0.234 0.742 0.791
Ge 0.500 0.500 0.500
N 0.000 0.500 0.000
N 0.500 0.500 0.000
N 0.500 0.000 0.000
N 0.000 0.000 0.000


AcGeN | PBE-GGA | relaxed

Values from the calculation:
Energy relative to the elements, uncorrected   -2.9 kcal/mol of atoms
Symmetry   P3m1
Total DFT energy (no corrections)   -5.809 eV per atom
D(E_F)   0.458 states/eV/cell

Cell lengths 4.417, 3.971, 3.971 Å; angles 120.00, 90.00, 90.00 degrees
Fractional coordinates of all 3 atoms:
Ac 0.666 0.667 0.333
Ge 0.166 0.000 0.000
N 0.168 0.333 0.667


Ac4Ge2N | PBE-GGA | relaxed

Values from the calculation:
Energy relative to the elements, uncorrected   -16.3 kcal/mol of atoms
Symmetry   I4/mmm
Total DFT energy (no corrections)   -5.563 eV per atom
D(E_F)   3.896 states/eV/cell

Cell lengths 5.110, 5.110, 9.153 Å; angles 73.79, 73.79, 90.00 degrees
Fractional coordinates of all 7 atoms:
Ac 0.824 0.824 0.351
Ac 0.176 0.176 0.649
Ac 0.000 0.500 0.000
Ac 0.500 0.000 0.000
Ge 0.635 0.635 0.730
Ge 0.365 0.365 0.270
N 0.000 0.000 0.000


Ac6GeN4 | PBE-GGA | relaxed

Values from the calculation:
Energy relative to the elements, uncorrected   -21.2 kcal/mol of atoms
Symmetry   Cmcm
Total DFT energy (no corrections)   -6.608 eV per atom
D(E_F)   9.418 states/eV/cell

Cell lengths 3.998, 6.850, 20.579 Å; angles 90.00, 90.00, 106.97 degrees
Fractional coordinates of all 22 atoms:
Ac 0.500 0.000 0.000
Ac 0.500 0.000 0.500
Ac 0.044 0.089 0.351
Ac 0.956 0.911 0.649
Ac 0.956 0.911 0.851
Ac 0.044 0.089 0.149
Ac 0.778 0.556 0.422
Ac 0.222 0.444 0.578
Ac 0.222 0.444 0.922
Ac 0.778 0.556 0.078
Ac 0.353 0.705 0.250
Ac 0.647 0.295 0.750
Ge 0.667 0.333 0.250
Ge 0.333 0.667 0.750
N 0.859 0.717 0.539
N 0.418 0.836 0.123
N 0.141 0.283 0.461
N 0.582 0.164 0.877
N 0.859 0.717 0.961
N 0.141 0.283 0.039
N 0.582 0.164 0.623
N 0.418 0.836 0.377


Ac3Ge2N2 | PBE-GGA | relaxed

Values from the calculation:
Energy relative to the elements, uncorrected   -17.9 kcal/mol of atoms
Symmetry   C2/m
Total DFT energy (no corrections)   -6.233 eV per atom
D(E_F)   2.934 states/eV/cell

Cell lengths 3.824, 6.618, 7.450 Å; angles 82.73, 75.13, 73.21 degrees
Fractional coordinates of all 7 atoms:
Ac 0.500 0.000 0.000
Ac 0.637 0.495 0.232
Ac 0.363 0.505 0.768
Ge 0.792 0.880 0.535
Ge 0.208 0.120 0.465
N 0.874 0.297 0.955
N 0.126 0.703 0.045


AcGeN | PBE-GGA | relaxed

Values from the calculation:
Energy relative to the elements, uncorrected   -15.6 kcal/mol of atoms
Symmetry   Cmcm
Total DFT energy (no corrections)   -6.361 eV per atom
D(E_F)   1.224 states/eV/cell

Cell lengths 4.359, 4.014, 7.312 Å; angles 105.93, 90.00, 90.00 degrees
Fractional coordinates of all 6 atoms:
Ac 0.250 0.848 0.196
Ac 0.750 0.152 0.804
Ge 0.250 0.537 0.574
Ge 0.750 0.463 0.426
N 0.750 0.329 0.158
N 0.250 0.671 0.842


Ac3Ge2N6 | PBE-GGA | relaxed

Values from the calculation:
Energy relative to the elements, uncorrected   -13.4 kcal/mol of atoms
Symmetry   I4/mmm
Total DFT energy (no corrections)   -7.083 eV per atom
D(E_F)   2.918 states/eV/cell

Cell lengths 3.994, 3.994, 11.022 Å; angles 100.44, 100.44, 90.00 degrees
Fractional coordinates of all 11 atoms:
Ac 0.000 0.000 0.000
Ac 0.818 0.818 0.636
Ac 0.182 0.182 0.364
Ge 0.394 0.394 0.788
Ge 0.606 0.606 0.212
N 0.086 0.586 0.172
N 0.586 0.086 0.172
N 0.914 0.414 0.828
N 0.414 0.914 0.828
N 0.696 0.696 0.391
N 0.304 0.304 0.609


Ac7Ge4N | PBE-GGA | relaxed

Values from the calculation:
Energy relative to the elements, uncorrected   -13.5 kcal/mol of atoms
Symmetry   C2/m
Total DFT energy (no corrections)   -5.216 eV per atom
D(E_F)   6.212 states/eV/cell

Cell lengths 5.324, 9.738, 8.691 Å; angles 76.89, 72.16, 74.14 degrees
Fractional coordinates of all 12 atoms:
Ac 0.789 0.859 0.562
Ac 0.211 0.141 0.438
Ac 0.070 0.749 0.111
Ac 0.930 0.251 0.889
Ac 0.362 0.537 0.740
Ac 0.500 0.000 0.000
Ac 0.638 0.463 0.260
Ge 0.579 0.217 0.626
Ge 0.421 0.783 0.374
Ge 0.723 0.659 0.895
Ge 0.277 0.341 0.105
N 0.000 0.000 0.000


AcGeN2 | PBE-GGA | relaxed

Values from the calculation:
Energy relative to the elements, uncorrected   -0.6 kcal/mol of atoms
Symmetry   R-3m
Total DFT energy (no corrections)   -6.369 eV per atom
D(E_F)   1.310 states/eV/cell

Cell lengths 3.751, 3.751, 5.747 Å; angles 70.96, 70.96, 60.00 degrees
Fractional coordinates of all 4 atoms:
Ac 0.500 0.500 0.500
Ge 0.000 0.000 0.000
N 0.258 0.258 0.226
N 0.742 0.742 0.774


Ac8Ge5N | PBE-GGA | relaxed

Values from the calculation:
Energy relative to the elements, uncorrected   -14.8 kcal/mol of atoms
Symmetry   I-4
Total DFT energy (no corrections)   -5.234 eV per atom
D(E_F)   5.659 states/eV/cell

Cell lengths 8.368, 8.368, 8.368 Å; angles 110.87, 106.71, 110.87 degrees
Fractional coordinates of all 14 atoms:
Ac 0.145 0.724 0.974
Ac 0.026 0.171 0.750
Ac 0.732 0.234 0.346
Ac 0.654 0.386 0.888
Ac 0.502 0.614 0.268
Ac 0.579 0.829 0.855
Ac 0.250 0.276 0.421
Ac 0.112 0.766 0.498
Ge 0.010 0.377 0.135
Ge 0.865 0.875 0.242
Ge 0.758 0.623 0.633
Ge 0.500 0.000 0.500
Ge 0.367 0.125 0.990
N 0.250 0.500 0.750